Entry 1:
! ErZnNi (PBE-GGA, relaxed); values from VASP
! Space-group type: Pnma (62)
! Density of states at the Fermi level (states/eV/atom): 0.70
! VASP energy (eV/atom): -4.35
! E_form (eV per atom): -0.48
! M_tot (Bohr magnetons per cell): 0.0
&SYSTEM
  ibrav = 0, nat = 12, ntyp = 3
/
ATOMIC_SPECIES
Zn 65.41 Zn.upf
Ni 58.69 Ni.upf
Er 167.26 Er.upf
CELL_PARAMETERS angstrom
-3.184 -1.320 1.985
1.192 -7.237 -2.903
3.879 -1.466 5.247
ATOMIC_POSITIONS crystal
Zn 0.750 0.561 0.640
Zn 0.750 0.939 0.140
Ni 0.750 0.875 0.758
Ni 0.250 0.125 0.242
Ni 0.750 0.625 0.258
Er 0.750 0.184 0.539
Er 0.250 0.684 0.961
Zn 0.250 0.061 0.860
Er 0.250 0.816 0.461
Zn 0.250 0.439 0.360
Ni 0.250 0.375 0.742
Er 0.750 0.316 0.039

Entry 2:
! La3PmNd6Tm2 (PBE-GGA, relaxed); values from VASP
! Space-group type: C2/m (12)
! Density of states at the Fermi level (states/eV/atom): 1.64
! VASP energy (eV/atom): -4.74
! E_form (eV per atom): 0.02
! M_tot (Bohr magnetons per cell): 0.0
&SYSTEM
  ibrav = 0, nat = 12, ntyp = 4
/
ATOMIC_SPECIES
Nd 144.24 Nd.upf
Pm 145.00 Pm.upf
La 138.91 La.upf
Tm 168.93 Tm.upf
CELL_PARAMETERS angstrom
-0.445 1.784 6.078
-5.123 0.178 -3.748
-0.795 -11.893 2.322
ATOMIC_POSITIONS crystal
Nd 0.919 0.584 0.756
Pm 0.000 0.000 0.000
La 0.167 0.833 0.500
Nd 0.584 0.919 0.756
Tm 0.333 0.667 0.000
Nd 0.253 0.253 0.756
Nd 0.747 0.747 0.244
Nd 0.416 0.081 0.244
Nd 0.081 0.416 0.244
La 0.833 0.167 0.500
Tm 0.667 0.333 0.000
La 0.500 0.500 0.500

Entry 3:
! CdTc2Ir (PBE-GGA, relaxed); values from VASP
! Space-group type: I-42d (122)
! Density of states at the Fermi level (states/eV/atom): 1.15
! VASP energy (eV/atom): -6.86
! E_form (eV per atom): 0.77
! M_tot (Bohr magnetons per cell): 0.0
&SYSTEM
  ibrav = 0, nat = 8, ntyp = 3
/
ATOMIC_SPECIES
Cd 112.41 Cd.upf
Tc 98.00 Tc.upf
Ir 192.22 Ir.upf
CELL_PARAMETERS angstrom
-7.297 0.366 1.212
-1.216 -3.994 -6.117
-4.131 -4.028 -1.032
ATOMIC_POSITIONS crystal
Cd 0.500 0.500 0.000
Tc 0.075 0.625 0.250
Tc 0.875 0.925 0.750
Tc 0.375 0.325 0.750
Tc 0.675 0.125 0.250
Ir 0.000 0.000 0.000
Ir 0.750 0.250 0.500
Cd 0.250 0.750 0.500

Entry 4:
! PmEuZnRh (PBE-GGA, relaxed); values from VASP
! Space-group type: F-43m (216)
! Density of states at the Fermi level (states/eV/atom): 1.42
! VASP energy (eV/atom): -6.32
! E_form (eV per atom): -0.40
! M_tot (Bohr magnetons per cell): 6.9
&SYSTEM
  ibrav = 0, nat = 4, ntyp = 4
/
ATOMIC_SPECIES
Eu 151.96 Eu.upf
Zn 65.41 Zn.upf
Rh 102.91 Rh.upf
Pm 145.00 Pm.upf
CELL_PARAMETERS angstrom
5.078 0.000 0.000
2.539 4.398 0.000
2.539 1.466 4.146
ATOMIC_POSITIONS crystal
Eu 0.750 0.750 0.750
Zn 0.000 0.000 0.000
Rh 0.500 0.500 0.500
Pm 0.250 0.250 0.250

> Among the records above, which one has the lowest density of states at the Fermi level?

ErZnNi

> What is the density of states at the Fermi level in the fourth record?

1.42 states/eV/atom

> What is the M_tot in the third record?

0.0 Bohr magnetons per cell

> What is the density of states at the Fermi level in the fourth record?

1.42 states/eV/atom